[1]
A relaxed structure of Rb2VGaO4, computed with GGA+U.

Unit cell a=11.665 b=10.315 c=6.927 alpha=82.64 beta=61.28 gamma=36.08
Atoms (fractional coordinates):
Rb  0.056  0.056  0.694
Rb  0.306  0.306  0.944
Rb  0.694  0.694  0.056
Rb  0.944  0.944  0.306
V  0.125  0.125  0.125
V  0.875  0.875  0.875
Ga  0.375  0.375  0.375
Ga  0.625  0.625  0.625
O  0.080  0.269  0.330
O  0.179  0.670  0.731
O  0.269  0.080  0.821
O  0.330  0.821  0.080
O  0.670  0.179  0.920
O  0.731  0.920  0.179
O  0.821  0.330  0.269
O  0.920  0.731  0.670

***

[2]
A relaxed structure of RbV2GaO6, computed with GGA+U.

Unit cell a=8.019 b=8.019 c=6.100 alpha=99.90 beta=99.90 gamma=88.31
Atoms (fractional coordinates):
Rb  0.110  0.890  0.750
Rb  0.890  0.110  0.250
V  0.183  0.353  0.780
V  0.353  0.183  0.280
V  0.647  0.817  0.720
V  0.817  0.647  0.220
Ga  0.284  0.716  0.250
Ga  0.716  0.284  0.750
O  0.008  0.748  0.284
O  0.155  0.561  0.845
O  0.252  0.992  0.216
O  0.283  0.304  0.528
O  0.304  0.283  0.028
O  0.439  0.845  0.655
O  0.561  0.155  0.345
O  0.696  0.717  0.972
O  0.717  0.696  0.472
O  0.748  0.008  0.784
O  0.845  0.439  0.155
O  0.992  0.252  0.716

***

[3]
A relaxed structure of RbVGaO4, computed with GGA+U.

Unit cell a=6.432 b=6.362 c=6.487 alpha=90.00 beta=102.43 gamma=90.00
Atoms (fractional coordinates):
Rb  0.029  0.250  0.469
Rb  0.971  0.750  0.531
V  0.358  0.750  0.143
V  0.642  0.250  0.857
Ga  0.374  0.250  0.123
Ga  0.626  0.750  0.877
O  0.271  0.005  0.228
O  0.271  0.495  0.228
O  0.326  0.750  0.855
O  0.352  0.250  0.826
O  0.648  0.750  0.174
O  0.674  0.250  0.145
O  0.729  0.505  0.772
O  0.729  0.995  0.772

***

| no. | electronic total energy (eV per atom) | magnetic moment (μB/f.u.) | volume (Å³ per cell) |
| --- | --- | --- | --- |
| 1 | -5.6607 | 0.0 | 371.77 |
| 2 | -6.6037 | 0.0 | 380.63 |
| 3 | -6.2458 | 1.0 | 259.26 |